# 1
The following is a PBE calculation of a relaxed PaZnBiO5 crystal, from Alexandria via LeMat-Bulk.

Lattice parameters (Å, degrees): 8.129 8.366 8.088 90.00 113.37 90.00
Space group C2/c (No. 15)
Inequivalent atoms, fractional coordinates:
Pa 0.000 0.034 0.250
Zn 0.250 0.250 0.000
Bi 0.000 0.445 0.250
O 0.000 0.212 0.750
O 0.103 0.245 0.151
O 0.224 0.012 0.502

Summary:
- density of states at the Fermi level (states/eV/atom) = 0.00
- volume (Å³ per atom) = 15.78
- theoretical density (g/cm3) = 7.70
- electronic total energy (eV/atom) = -7.0239

***

# 2
The following is a PBE calculation of a relaxed Ta2TlBiPt crystal, from Alexandria via LeMat-Bulk.

Lattice parameters (Å, degrees): 5.203 5.203 5.589 90.00 90.00 90.00
Space group P4/mmm (No. 123)
Inequivalent atoms, fractional coordinates:
Ta 0.000 0.500 0.000
Tl 0.000 0.000 0.500
Bi 0.000 0.000 0.000
Pt 0.500 0.500 0.500

Summary:
- density of states at the Fermi level (states/eV/atom) = 1.41
- volume (Å³ per atom) = 30.27
- energy relative to the elements (meV/atom) = 2290
- theoretical density (g/cm3) = 10.65

***

# 3
The following is a PBE calculation of a relaxed Ir2OsRu crystal, from Alexandria via LeMat-Bulk.

Lattice parameters (Å, degrees): 2.725 2.725 7.717 90.00 90.00 90.00
Space group P4mm (No. 99)
Inequivalent atoms, fractional coordinates:
Ir 0.000 0.000 0.000
Ir 0.500 0.500 0.260
Os 0.000 0.000 0.505
Ru 0.500 0.500 0.755

Summary:
- density of states at the Fermi level (states/eV/atom) = 0.97
- energy above the lowest structure with this stoichiometry (eV per formula unit) = 0.08
- volume (Å³ per atom) = 14.32
- energy relative to the elements (meV/atom) = 24
- theoretical density (g/cm3) = 19.59

***

# 4
The following is a PBE calculation of a relaxed Ba2TlCdSe5 crystal, from Alexandria via LeMat-Bulk.

Lattice parameters (Å, degrees): 4.368 20.140 12.740 90.00 90.00 90.00
Space group Cmc2_1 (No. 36)
Inequivalent atoms, fractional coordinates:
Ba 0.000 0.118 0.000
Ba 0.000 0.124 0.621
Tl 0.000 0.440 0.770
Cd 0.000 0.235 0.338
Se 0.000 0.040 0.390
Se 0.000 0.284 0.979
Se 0.000 0.305 0.706
Se 0.000 0.366 0.313
Se 0.000 0.497 0.583

Summary:
- density of states at the Fermi level (states/eV/atom) = 0.76
- volume (Å³ per atom) = 31.13
- theoretical density (g/cm3) = 5.85
- electronic total energy (eV/atom) = -3.7436

***

# 5
The following is a PBE calculation of a relaxed SrAcHgGe crystal, from Alexandria via LeMat-Bulk.

Lattice parameters (Å, degrees): 4.640 4.581 12.176 90.00 90.00 90.00
Space group Amm2 (No. 38)
Inequivalent atoms, fractional coordinates:
Sr 0.000 0.000 0.000
Ac 0.500 0.000 0.272
Hg 0.500 0.000 0.556
Ge 0.000 0.000 0.718

Summary:
- density of states at the Fermi level (states/eV/atom) = 0.66
- energy above the lowest structure with this stoichiometry (eV per formula unit) = 0.00
- volume (Å³ per atom) = 32.35
- energy relative to the elements (meV/atom) = -581
- theoretical density (g/cm3) = 7.54

***

# 6
The following is a PBE calculation of a relaxed Na2CrP crystal, from Alexandria via LeMat-Bulk.

Lattice parameters (Å, degrees): 3.811 3.811 21.540 90.00 90.00 90.00
Space group I-42d (No. 122)
Inequivalent atoms, fractional coordinates:
Na 0.233 0.250 0.125
Cr 0.000 0.000 0.500
P 0.000 0.000 0.000

Summary:
- density of states at the Fermi level (states/eV/atom) = 0.57
- energy above the lowest structure with this stoichiometry (eV per formula unit) = 0.00
- volume (Å³ per atom) = 19.55
- energy relative to the elements (meV/atom) = 359
- theoretical density (g/cm3) = 2.74

***

# 7
The following is a PBE calculation of a relaxed KSmMgF6 crystal, from Alexandria via LeMat-Bulk.

Lattice parameters (Å, degrees): 7.220 7.690 10.208 90.00 90.00 90.00
Space group Imma (No. 74)
Inequivalent atoms, fractional coordinates:
K 0.000 0.250 0.082
Sm 0.000 0.000 0.500
Mg 0.250 0.250 0.750
F 0.000 0.250 0.381
F 0.000 0.250 0.666
F 0.226 0.061 0.884

Summary:
- density of states at the Fermi level (states/eV/atom) = 0.00
- volume (Å³ per atom) = 15.74
- theoretical density (g/cm3) = 3.84
- electronic total energy (eV/atom) = -5.6547

***

# 8
The following is a PBE calculation of a relaxed Tb2AgRh2 crystal, from Alexandria via LeMat-Bulk.

Lattice parameters (Å, degrees): 7.395 7.395 3.800 90.00 90.00 90.00
Space group P4/mbm (No. 127)
Inequivalent atoms, fractional coordinates:
Tb 0.169 0.331 0.000
Ag 0.000 0.000 0.500
Rh 0.133 0.633 0.500

Summary:
- density of states at the Fermi level (states/eV/atom) = 0.42
- energy above the lowest structure with this stoichiometry (eV per formula unit) = 0.00
- volume (Å³ per atom) = 20.78
- energy relative to the elements (meV/atom) = -657
- theoretical density (g/cm3) = 10.09